CdSe2IN | Alexandria | GGA-PBEsol | relaxed; energy relative to the elements, uncorrected = 1.073 eV per atom; V = 117.97 Å³ per cell; Fermi-level density of states = 3.7 states/eV/f.u.; total moment = 2.1 μB/cell
1.0
4.157 0.000 0.000
0.000 5.327 0.000
0.000 0.000 5.327
N I Se Cd
1 1 2 1
Cartesian
2.078 0.000 0.000
2.078 2.664 2.664
0.000 2.664 0.000
0.000 0.000 2.664
0.000 0.000 0.000

Nb2SbP2 | Alexandria | GGA-PBEsol | relaxed; energy relative to the elements, uncorrected = -0.453 eV per atom; V = 84.75 Å³ per cell; Fermi-level density of states = 4.2 states/eV/f.u.; total moment = 0.0 μB/cell
1.0
-0.370 -2.339 -2.636
1.551 -2.488 1.989
-6.619 0.611 2.770
Sb Nb P
1 2 2
Cartesian
0.000 0.000 0.000
-0.810 -2.832 0.245
-4.628 -1.384 1.878
-2.239 -2.145 2.218
-3.200 -2.071 -0.094

CoCuPt2 | Alexandria | GGA-PBEsol | relaxed; formation energy from the elements = -0.208 eV per formula unit; V = 52.49 Å³ per cell; Fermi-level density of states = 3.2 states/eV/f.u.; total moment = 2.4 μB/cell
1.0
-2.133 0.182 1.629
-0.001 -4.487 0.498
3.697 1.142 2.501
Cu Co Pt
1 1 2
Cartesian
0.269 -0.366 2.616
2.625 -1.065 3.564
1.290 -2.646 1.987
0.010 -0.095 0.024

Copy entry 3 word for word.
CoCuPt2 | Alexandria | GGA-PBEsol | relaxed; formation energy from the elements = -0.208 eV per formula unit; V = 52.49 Å³ per cell; Fermi-level density of states = 3.2 states/eV/f.u.; total moment = 2.4 μB/cell
1.0
-2.133 0.182 1.629
-0.001 -4.487 0.498
3.697 1.142 2.501
Cu Co Pt
1 1 2
Cartesian
0.269 -0.366 2.616
2.625 -1.065 3.564
1.290 -2.646 1.987
0.010 -0.095 0.024

Q: The lowest Fermi-level density of states belongs to which entry?
A: CoCuPt2

Repeat the first record exactly.
CdSe2IN | Alexandria | GGA-PBEsol | relaxed; energy relative to the elements, uncorrected = 1.073 eV per atom; V = 117.97 Å³ per cell; Fermi-level density of states = 3.7 states/eV/f.u.; total moment = 2.1 μB/cell
1.0
4.157 0.000 0.000
0.000 5.327 0.000
0.000 0.000 5.327
N I Se Cd
1 1 2 1
Cartesian
2.078 0.000 0.000
2.078 2.664 2.664
0.000 2.664 0.000
0.000 0.000 2.664
0.000 0.000 0.000

Q: Number 2 is which compound?
A: Nb2SbP2